# 1
Crystalline Tb3Sm2Dy5 at its relaxed geometry. Source: Alexandria, functional PBE.

Computed properties:
SG: C2/c, No. 15
Energy above the lowest structure with this stoichiometry (meV per atom): 0.0

Unit cell a=9.4163 b=9.4356 c=11.1402 alpha=125.31 beta=125.27 gamma=68.55
Sites, in units of the cell vectors:
Dy  0.9806  0.2306  0.4613
Dy  0.0194  0.7694  0.5387
Dy  0.1385  0.3918  0.2451
Dy  0.4743  0.7243  0.4486
Dy  0.2772  0.5272  0.0544
Dy  0.7228  0.4728  0.9456
Dy  0.6066  0.8534  0.2451
Dy  0.3934  0.1466  0.7549
Dy  0.8615  0.6082  0.7549
Dy  0.5257  0.2757  0.5514
Sm  0.7785  0.0120  0.7443
Sm  0.2215  0.9880  0.2557
Sm  0.5342  0.2677  0.2557
Sm  0.4658  0.7323  0.7443
Tb  0.2686  0.5359  0.7562
Tb  0.7314  0.4641  0.2438
Tb  0.7710  0.0210  0.0420
Tb  0.2290  0.9790  0.9580
Tb  0.9876  0.2203  0.7562
Tb  0.0124  0.7797  0.2438

***

# 2
Crystalline Tb4Sm3Dy3 at its relaxed geometry. Source: Alexandria, functional PBE.

Computed properties:
SG: Amm2, No. 38
Raw total energy (eV per atom): -4.5505

Unit cell a=3.7060 b=9.4160 c=9.4160 alpha=90.17 beta=90.00 gamma=90.00
Sites, in units of the cell vectors:
Dy  0.0000  0.0011  0.5029
Dy  0.0000  0.4971  0.9989
Dy  0.5000  0.1731  0.8269
Tb  0.0000  0.1273  0.1244
Tb  0.0000  0.8756  0.8727
Tb  0.0000  0.6264  0.3736
Tb  0.0000  0.3729  0.6271
Sm  0.5000  0.6725  0.6735
Sm  0.5000  0.8275  0.1725
Sm  0.5000  0.3265  0.3275

***

# 3
Crystalline TbSmDy2 at its relaxed geometry. Source: Alexandria, functional PBE.

Computed properties:
SG: P4/mmm, No. 123
Energy above the lowest structure with this stoichiometry (meV per atom): 4.9

Unit cell a=3.5651 b=3.5651 c=10.0949 alpha=90.00 beta=90.00 gamma=90.00
Sites, in units of the cell vectors:
Tb  0.5000  0.5000  0.5000
Dy  0.0000  0.0000  0.7477
Dy  0.0000  0.0000  0.2523
Sm  0.5000  0.5000  0.0000

***

# 4
Crystalline Tb7Sm4Dy at its relaxed geometry. Source: Alexandria, functional PBE.

Computed properties:
SG: C2/m, No. 12
Energy above the lowest structure with this stoichiometry (meV per atom): 183.3

Unit cell a=5.9385 b=11.6476 c=6.7299 alpha=83.66 beta=63.82 gamma=75.23
Sites, in units of the cell vectors:
Sm  0.7678  0.6732  0.7912
Sm  0.2322  0.3268  0.2088
Sm  0.6398  0.2229  0.4976
Sm  0.3602  0.7771  0.5024
Tb  0.7883  0.9234  0.5001
Tb  0.5000  0.0000  0.0000
Tb  0.9343  0.3164  0.8150
Tb  0.6315  0.5025  0.2345
Tb  0.3685  0.4975  0.7655
Tb  0.2117  0.0766  0.4999
Tb  0.0657  0.6836  0.1850
Dy  0.0000  0.0000  0.0000

***

# 5
Crystalline Tb8Sm3Dy2 at its relaxed geometry. Source: Alexandria, functional PBE.

Computed properties:
SG: C2/m, No. 12
Energy above the lowest structure with this stoichiometry (meV per atom): 221.7

Unit cell a=5.6558 b=7.6861 c=10.7872 alpha=110.87 beta=90.02 gamma=90.00
Sites, in units of the cell vectors:
Sm  0.0000  0.7104  0.0000
Sm  0.5000  0.0000  0.0000
Sm  0.0000  0.2896  0.0000
Tb  0.9995  0.3294  0.6587
Tb  0.4999  0.6012  0.7833
Tb  0.5001  0.8178  0.2167
Tb  0.4999  0.1822  0.7833
Tb  0.5001  0.3988  0.2167
Tb  0.0005  0.6706  0.3413
Tb  0.9998  0.1343  0.2686
Tb  0.0002  0.8657  0.7314
Dy  0.4993  0.2415  0.4830
Dy  0.5007  0.7585  0.5170

***

# 6
Crystalline Tb7Sm2Dy at its relaxed geometry. Source: Alexandria, functional PBE.

Computed properties:
SG: P-1, No. 2
Energy above the lowest structure with this stoichiometry (meV per atom): 0.0

Unit cell a=6.1886 b=9.4404 c=9.4469 alpha=141.77 beta=70.93 gamma=102.61
Sites, in units of the cell vectors:
Tb  0.5001  0.2995  0.2000
Tb  0.4999  0.7005  0.8000
Tb  0.9990  0.2004  0.8008
Tb  0.0000  0.5991  0.3996
Tb  0.0000  0.4009  0.6004
Tb  0.5000  0.5000  0.0000
Tb  0.0010  0.7996  0.1992
Dy  0.0000  0.0000  0.0000
Sm  0.5006  0.1005  0.4000
Sm  0.4994  0.8995  0.6000

***

# 7
Crystalline Tb6Sm4Dy at its relaxed geometry. Source: Alexandria, functional PBE.

Computed properties:
SG: I-42m, No. 121
Energy above the lowest structure with this stoichiometry (meV per atom): 304.6

Unit cell a=7.6184 b=7.6184 c=8.5345 alpha=116.51 beta=116.51 gamma=90.00
Sites, in units of the cell vectors:
Sm  0.7506  0.0952  0.8457
Sm  0.2494  0.2494  0.1543
Sm  0.0952  0.7506  0.8457
Sm  0.9048  0.9048  0.1543
Tb  0.4495  0.9215  0.3710
Tb  0.0785  0.0785  0.6290
Tb  0.5505  0.5505  0.6290
Tb  0.0000  0.5000  0.0000
Tb  0.5000  0.0000  0.0000
Tb  0.9215  0.4495  0.3710
Dy  0.5000  0.5000  0.0000

***

# 8
Crystalline Tb3Sm4Dy at its relaxed geometry. Source: Alexandria, functional PBE.

Computed properties:
SG: Pmn2_1, No. 31
Energy above the lowest structure with this stoichiometry (meV per atom): 0.0

Unit cell a=6.3161 b=7.3122 c=11.5035 alpha=90.00 beta=90.00 gamma=90.00
Sites, in units of the cell vectors:
Tb  0.6478  0.6233  0.0000
Tb  0.1478  0.3767  0.5000
Tb  0.4807  0.3768  0.2502
Tb  0.9807  0.6232  0.2498
Tb  0.9807  0.6232  0.7502
Tb  0.4807  0.3768  0.7498
Sm  0.1477  0.8732  0.5000
Sm  0.4812  0.8734  0.7499
Sm  0.1477  0.8739  0.0000
Sm  0.6477  0.1261  0.5000
Sm  0.6477  0.1268  0.0000
Sm  0.4812  0.8734  0.2501
Sm  0.9812  0.1266  0.2499
Sm  0.9812  0.1266  0.7501
Dy  0.6482  0.6232  0.5000
Dy  0.1482  0.3768  0.0000

***

# 9
Crystalline Tb14SmDy at its relaxed geometry. Source: Alexandria, functional PBE.

Computed properties:
SG: Amm2, No. 38
Raw total energy (eV per atom): -4.6343

Unit cell a=7.1533 b=7.1533 c=11.5131 alpha=90.00 beta=90.00 gamma=119.97
Sites, in units of the cell vectors:
Tb  0.8751  0.1249  0.7509
Tb  0.8752  0.6252  0.7506
Tb  0.7085  0.7919  0.5000
Tb  0.8752  0.6252  0.2494
Tb  0.5416  0.9581  0.0000
Tb  0.8751  0.1249  0.2491
Tb  0.5416  0.4584  0.0000
Tb  0.0419  0.4584  0.0000
Tb  0.0417  0.9583  0.0000
Tb  0.3750  0.6250  0.7497
Tb  0.2081  0.2915  0.5000
Tb  0.3750  0.6250  0.2503
Tb  0.3748  0.1248  0.7506
Tb  0.3748  0.1248  0.2494
Dy  0.2082  0.7918  0.5000
Sm  0.7083  0.2917  0.5000

***

# 10
Crystalline Tb2SmDy5 at its relaxed geometry. Source: Alexandria, functional PBE.

Computed properties:
SG: P2_1/m, No. 11
Energy above the lowest structure with this stoichiometry (meV per atom): 169.5

Unit cell a=8.8034 b=8.4903 c=11.1403 alpha=90.00 beta=90.00 gamma=38.96
Sites, in units of the cell vectors:
Tb  0.1179  0.4221  0.6158
Tb  0.8821  0.5779  0.1158
Tb  0.8821  0.5779  0.3842
Tb  0.1179  0.4221  0.8842
Dy  0.1975  0.6823  0.0783
Dy  0.2349  0.6875  0.7500
Dy  0.7651  0.3125  0.2500
Dy  0.8025  0.3177  0.9217
Dy  0.6685  0.0425  0.5764
Dy  0.3315  0.9575  0.0764
Dy  0.1975  0.6823  0.4217
Dy  0.8025  0.3177  0.5783
Dy  0.6685  0.0425  0.9236
Dy  0.3315  0.9575  0.4236
Sm  0.5043  0.8438  0.7500
Sm  0.4957  0.1562  0.2500

***

# 11
Crystalline Tb4SmDy at its relaxed geometry. Source: Alexandria, functional PBE.

Computed properties:
SG: F-43m, No. 216
Energy above the lowest structure with this stoichiometry (meV per atom): 254.8

Unit cell a=6.5898 b=6.5898 c=6.5898 alpha=60.00 beta=60.00 gamma=60.00
Last column: magnetic moment on the atom in μB.
Sites, in units of the cell vectors:
Tb  0.6252  0.6252  0.1244  0.02
Tb  0.6252  0.6252  0.6252  0.02
Tb  0.1244  0.6252  0.6252  0.02
Tb  0.6252  0.1244  0.6252  0.02
Dy  0.0000  0.0000  0.0000  0.11
Sm  0.2500  0.2500  0.2500  0.09

***

What is the formula in the first record?
Tb3Sm2Dy5